(1)
Entry from Alexandria: a relaxed GeIrPd2 crystal (PBE-GGA).

Geometry as POSCAR:
```
GeIrPd2
1.0
3.716 0.000 0.000
0.000 3.716 0.000
1.858 1.858 9.400
Ir Pd Ge
2 4 2
direct
0.000 0.000 0.000
0.750 0.250 0.500
0.625 0.125 0.250
0.125 0.625 0.250
0.875 0.875 0.750
0.375 0.375 0.750
0.500 0.500 0.000
0.250 0.750 0.500
```

Output
The calculation puts the density of states at the Fermi level at 2.8 states/eV/f.u. The calculation puts the calculated volume at 16.23 Å³/atom. For the energy of formation from the pure elements, the calculation gives 0.5 eV per formula unit. The final energy is -46.8 eV/cell.

---

(2)
Entry from Alexandria: a relaxed Ca2ScSb crystal (PBE-GGA).

Geometry as POSCAR:
```
Ca2ScSb
1.0
-0.846 -8.327 3.922
-1.879 -3.700 -8.260
1.682 -6.538 -2.626
Ca Sc Sb
4 2 2
direct
0.074 0.625 0.250
0.875 0.926 0.750
0.375 0.324 0.750
0.676 0.125 0.250
0.250 0.750 0.500
0.500 0.500 0.000
0.750 0.250 0.500
0.000 0.000 0.000
```

Output
The calculation puts the density of states at the Fermi level at 2.8 states/eV/f.u. The calculation puts the calculated volume at 33.35 Å³/atom. As for the formation energy from raw total energies: -96.3 meV per atom. The final energy is -29.7 eV/cell.

---

(3)
Entry from Alexandria: a relaxed Sc6SbAs5 crystal (PBE-GGA).

Geometry as POSCAR:
```
Sc6SbAs5
1.0
-4.902 -4.214 2.113
2.771 -5.130 3.521
0.845 0.555 6.730
As Sc Sb
5 6 1
direct
0.000 0.667 0.666
0.000 0.333 0.334
0.500 0.163 0.674
0.500 0.837 0.326
0.500 0.500 0.000
0.746 0.738 0.000
0.254 0.262 0.000
0.743 0.432 0.654
0.743 0.086 0.346
0.257 0.568 0.346
0.257 0.914 0.654
0.000 0.000 0.000
```

Output
The calculation puts the density of states at the Fermi level at 2.1 states/eV/f.u. The calculation puts the calculated volume at 21.44 Å³/atom. As for the formation energy from raw total energies: -1287.6 meV per atom. The final energy is -80.8 eV/cell.

---

(4)
Entry from Alexandria: a relaxed MgTa2Au crystal (PBE-GGA).

Geometry as POSCAR:
```
MgTa2Au
1.0
4.696 0.000 0.000
2.348 4.067 0.000
2.348 1.356 3.834
Ta Au Mg
2 1 1
direct
0.000 0.000 0.000
0.750 0.750 0.750
0.500 0.500 0.500
0.250 0.250 0.250
```

Output
The calculation puts the density of states at the Fermi level at 5.6 states/eV/f.u. The calculation puts the calculated volume at 18.31 Å³/atom. For the energy of formation from the pure elements, the calculation gives 1.2 eV per formula unit. The final energy is -27.4 eV/cell.